HfHg3Se after structural relaxation, computed with PBE.

* volume: 170 Å³ per cell
* D(E_F): 2.4 states/eV/cell
* size of the total moment: 0.000 μB/f.u.
* E_tot: -11.01 eV/cell

a = 5.5390 Å, b = 5.5390 Å, c = 5.5390 Å
α = 90.00°, β = 90.00°, γ = 90.00°
Fractional coordinates of all 5 atoms:
1 Hf 0.0000 0.0000 0.0000
2 Hg 0.0000 0.0000 0.5000
3 Hg 0.0000 0.5000 0.0000
4 Hg 0.5000 0.0000 0.0000
5 Se 0.5000 0.5000 0.5000

---

HfHgSe2 after structural relaxation, computed with PBE.

* volume: 573 Å³ per cell
* D(E_F): 0.0 states/eV/cell
* size of the total moment: 0.000 μB/f.u.
* E_tot: -82.13 eV/cell

a = 10.1631 Å, b = 3.6712 Å, c = 15.3455 Å
α = 90.00°, β = 90.00°, γ = 90.00°
Fractional coordinates of all 16 atoms:
1 Hf 0.0308 0.2500 0.0992
2 Hf 0.4692 0.7500 0.5992
3 Hf 0.5308 0.2500 0.4008
4 Hf 0.9692 0.7500 0.9008
5 Hg 0.0355 0.2500 0.5919
6 Hg 0.4645 0.7500 0.0919
7 Hg 0.5355 0.2500 0.9081
8 Hg 0.9645 0.7500 0.4081
9 Se 0.1281 0.7500 0.1954
10 Se 0.1544 0.2500 0.9530
11 Se 0.3456 0.7500 0.4530
12 Se 0.3719 0.2500 0.6954
13 Se 0.6281 0.7500 0.3046
14 Se 0.6544 0.2500 0.5470
15 Se 0.8456 0.7500 0.0470
16 Se 0.8719 0.2500 0.8046

---

HfHgSe2 after structural relaxation, computed with PBE.

* volume: 215 Å³ per cell
* D(E_F): 2.0 states/eV/cell
* size of the total moment: 0.000 μB/f.u.
* E_tot: -36.90 eV/cell

a = 11.6988 Å, b = 11.6988 Å, c = 4.7557 Å
α = 90.00°, β = 90.00°, γ = 160.71°
Fractional coordinates of all 8 atoms:
1 Hf 0.0866 0.9134 0.7500
2 Hf 0.9134 0.0866 0.2500
3 Hg 0.3477 0.6523 0.7500
4 Hg 0.6523 0.3477 0.2500
5 Se 0.0398 0.9602 0.2500
6 Se 0.1935 0.8065 0.7500
7 Se 0.8065 0.1935 0.2500
8 Se 0.9602 0.0398 0.7500

---

HfHgSe2 after structural relaxation, computed with PBE.

* volume: 182 Å³ per cell
* D(E_F): 2.2 states/eV/cell
* size of the total moment: 0.000 μB/f.u.
* E_tot: -38.82 eV/cell

a = 5.3025 Å, b = 5.3025 Å, c = 6.5362 Å
α = 90.00°, β = 90.00°, γ = 82.64°
Fractional coordinates of all 8 atoms:
1 Hf 0.1421 0.8579 0.5000
2 Hf 0.8579 0.1421 0.0000
3 Hg 0.4651 0.5349 0.1373
4 Hg 0.5349 0.4651 0.6373
5 Se 0.0541 0.3377 0.3441
6 Se 0.3377 0.0541 0.8441
7 Se 0.6623 0.9459 0.3441
8 Se 0.9459 0.6623 0.8441

---

HfHgSe2 after structural relaxation, computed with PBE.

* volume: 140 Å³ per cell
* size of the total moment: 0.000 μB/f.u.
* E_tot: -19.34 eV/cell

a = 4.1335 Å, b = 4.1335 Å, c = 9.4728 Å
α = 90.00°, β = 90.00°, γ = 120.00°
Fractional coordinates of all 4 atoms:
1 Hf 0.0000 0.0000 0.0000
2 Hg 0.6667 0.3333 0.5306
3 Se 0.0000 0.0000 0.2468
4 Se 0.3333 0.6667 0.8803

---

Hf2HgSe2 after structural relaxation, computed with PBE.

* volume: 204 Å³ per cell
* D(E_F): 5.6 states/eV/cell
* size of the total moment: 0.000 μB/f.u.
* E_tot: -59.08 eV/cell

a = 7.8712 Å, b = 7.8712 Å, c = 3.2869 Å
α = 90.00°, β = 90.00°, γ = 90.00°
Fractional coordinates of all 10 atoms:
1 Hf 0.1506 0.3494 0.0000
2 Hf 0.3494 0.8494 0.0000
3 Hf 0.6506 0.1506 0.0000
4 Hf 0.8494 0.6506 0.0000
5 Hg 0.0000 0.0000 0.5000
6 Hg 0.5000 0.5000 0.5000
7 Se 0.1375 0.6375 0.5000
8 Se 0.3625 0.1375 0.5000
9 Se 0.6375 0.8625 0.5000
10 Se 0.8625 0.3625 0.5000

---

HfHgSe2 after structural relaxation, computed with PBE.

* volume: 316 Å³ per cell
* D(E_F): 0.0 states/eV/cell
* size of the total moment: 0.000 μB/f.u.
* E_tot: -40.25 eV/cell

a = 7.6205 Å, b = 7.6205 Å, c = 7.6205 Å
α = 101.42°, β = 101.42°, γ = 127.16°
Fractional coordinates of all 8 atoms:
1 Hf 0.2500 0.7500 0.5000
2 Hf 0.7500 0.2500 0.5000
3 Hg 0.2500 0.2500 0.0000
4 Hg 0.7500 0.7500 0.0000
5 Se 0.1391 0.6391 0.7782
6 Se 0.3609 0.1391 0.5000
7 Se 0.6391 0.8609 0.5000
8 Se 0.8609 0.3609 0.2218

---

Hf2HgSe2 after structural relaxation, computed with PBE.

* volume: 121 Å³ per cell
* D(E_F): 5.6 states/eV/cell
* size of the total moment: 0.001 μB/f.u.
* E_tot: -29.74 eV/cell

a = 6.4779 Å, b = 6.4779 Å, c = 6.4779 Å
α = 137.89°, β = 137.89°, γ = 61.08°
Fractional coordinates of all 5 atoms:
1 Hf 0.2500 0.7500 0.5000
2 Hf 0.7500 0.2500 0.5000
3 Hg 0.0000 0.0000 0.0000
4 Se 0.3614 0.3614 0.0000
5 Se 0.6385 0.6385 0.0000

---

HfHgSe3 after structural relaxation, computed with PBE.

* volume: 141 Å³ per cell
* D(E_F): 3.1 states/eV/cell
* size of the total moment: 0.000 μB/f.u.
* E_tot: -22.80 eV/cell

a = 5.2059 Å, b = 5.2059 Å, c = 5.2059 Å
α = 90.00°, β = 90.00°, γ = 90.00°
Fractional coordinates of all 5 atoms:
1 Hf 0.0000 0.0000 0.0000
2 Hg 0.5000 0.5000 0.5000
3 Se 0.0000 0.0000 0.5000
4 Se 0.0000 0.5000 0.0000
5 Se 0.5000 0.0000 0.0000

---

HfHgSe2 after structural relaxation, computed with PBE.

* volume: 246 Å³ per cell
* D(E_F): 0.0 states/eV/cell
* size of the total moment: 0.000 μB/f.u.
* E_tot: -42.44 eV/cell

a = 6.5032 Å, b = 3.7565 Å, c = 10.0899 Å
α = 90.00°, β = 91.26°, γ = 90.00°
Fractional coordinates of all 8 atoms:
1 Hf 0.2500 0.2500 0.0000
2 Hf 0.7500 0.7500 0.0000
3 Hg 0.2478 0.2500 0.5000
4 Hg 0.7522 0.7500 0.5000
5 Se 0.0888 0.7500 0.1567
6 Se 0.4113 0.7500 0.8432
7 Se 0.5887 0.2500 0.1568
8 Se 0.9112 0.2500 0.8433